VASP calculation (GGA-PBE) on Ca2ZrNi after structural relaxation.

The structure belongs to space group I4/mmm (No. 139); the cell edges are 4.2421, 4.2421 and 10.4084 Å and the angles 90.00°, 90.00° and 90.00°. The asymmetric unit holds Ca at (0.0000, 0.5000, 0.2500), Zr at (0.0000, 0.0000, 0.0000) and Ni at (0.0000, 0.0000, 0.5000).

The uncorrected energy is -16.62 eV/f.u. As for the energy relative to the elements: 41.4 kJ per mole of atoms. The distance to the lowest polymorph of the same formula comes out at 0.4598 eV/atom. The value obtained for the volume is 23.41 Å³/atom.

***

VASP calculation (GGA-PBE) on CaZrNi after structural relaxation.

The structure belongs to space group Cm (No. 8); the cell edges are 12.4248, 3.5249 and 7.9417 Å and the angles 90.00°, 127.34° and 90.00°. The asymmetric unit holds Ca at (0.0000, 0.0000, 0.0000), Ca at (0.2418, 0.0000, 0.5351), Zr at (0.1684, 0.5000, 0.8507), Zr at (0.4143, 0.0000, 0.3081), Ni at (0.2368, 0.5000, 0.2271) and Ni at (0.4815, 0.5000, 0.6002).

The uncorrected energy is -16.51 eV/f.u. As for the energy relative to the elements: -5.7 kJ per mole of atoms. The distance to the lowest polymorph of the same formula comes out at 0.1379 eV/atom. The value obtained for the volume is 23.04 Å³/atom.

***

VASP calculation (GGA-PBE) on Ca2ZrNi after structural relaxation.

The structure belongs to space group F-43m (No. 216); the cell edges are 7.2093, 7.2093 and 7.2093 Å and the angles 90.00°, 90.00° and 90.00°. The asymmetric unit holds Ca at (0.0000, 0.0000, 0.0000), Ca at (0.2500, 0.2500, 0.2500), Zr at (0.0000, 0.0000, 0.5000) and Ni at (0.2500, 0.2500, 0.7500).

The uncorrected energy is -16.65 eV/f.u. As for the energy relative to the elements: 40.5 kJ per mole of atoms. The distance to the lowest polymorph of the same formula comes out at 0.4506 eV/atom. The value obtained for the volume is 23.42 Å³/atom.

***

VASP calculation (GGA-PBE) on CaNp4 after structural relaxation.

The structure belongs to space group Pm-3m (No. 221); the cell edges are 5.2875, 5.2875 and 5.2875 Å and the angles 90.00°, 90.00° and 90.00°. The asymmetric unit holds Ca at (0.0000, 0.0000, 0.0000), Np at (0.0000, 0.0000, 0.5000) and Np at (0.5000, 0.5000, 0.5000).

The uncorrected energy is -43.59 eV/f.u. As for the energy relative to the elements: 196.3 kJ per mole of atoms. The value obtained for the volume is 29.57 Å³/atom.